Ba2ScMnPt after structural relaxation. Source: Alexandria via LeMat-Bulk, functional PBE.

total DFT energy (no corrections) = -4.282 eV per atom
formation energy = 796 meV per atom
symmetry = P4/mmm, No. 123
Fermi-level density of states = 0.99 states/eV/atom
crystal system = tetragonal

Unit cell a=6.1850 b=4.4348 c=6.1850 alpha=90.00 beta=90.00 gamma=90.00
Site moments in Bohr magnetons follow the coordinates.
Element x y z (fractional)
Mn (0.0000, 0.5000, 0.0000)  2.81
Pt (0.5000, 0.5000, 0.5000)  0.00
Sc (0.0000, 0.0000, 0.0000)  -0.67
Ba (0.5000, 0.0000, 0.0000)  -0.10
Ba (0.0000, 0.0000, 0.5000)  -0.14